PrPaS3: optimized geometry, PBE.

Geometry as POSCAR:
```
PrPaS3
1.0
7.454 0.000 0.000
0.000 3.967 0.000
0.000 0.000 15.590
Pr Pa S
4 4 12
Direct
0.107 0.250 0.203
0.393 0.750 0.703
0.607 0.250 0.297
0.893 0.750 0.797
0.241 0.750 0.459
0.259 0.250 0.959
0.741 0.750 0.041
0.759 0.250 0.541
0.008 0.250 0.402
0.125 0.750 0.066
0.174 0.250 0.784
0.326 0.750 0.284
0.375 0.250 0.566
0.492 0.750 0.902
0.508 0.250 0.098
0.625 0.750 0.434
0.674 0.250 0.716
0.826 0.750 0.216
0.875 0.250 0.934
0.992 0.750 0.598
```

Calculated values
Spin magnetization in μB per formula unit: 1.4
Space-group type: Pnma (62)
ρ in g/cm³: 6.7
D(E_F) in states/eV per cell: 17.8
Polymorph energy (0 for the lowest one) in eV/atom: 0.000
ΔE_f (raw) in meV per atom: -1837.1